(1)
Entry from Alexandria via LeMat-Bulk: crystalline ZnRe2As at its relaxed geometry (PBE).

extended XYZ file:
```
4
Lattice="-0.187 2.373 -1.440 -0.699 -2.351 -1.313 -8.899 1.043 2.871" Properties=species:S:1:pos:R:3 pbc="T T T"
Re -0.111 0.013 0.036
Re -2.591 0.263 -0.684
As -7.226 0.806 0.812
Zn -4.306 0.505 1.389
```

## Properties
The calculation puts the formation energy at 37.2 kJ/mol of atoms.


(2)
Entry from Alexandria via LeMat-Bulk: crystalline VSi2H at its relaxed geometry (PBE).

extended XYZ file:
```
8
Lattice="-4.118 1.813 -0.346 -0.946 -2.798 -3.412 -4.340 -3.962 1.467" Properties=species:S:1:pos:R:3 pbc="T T T"
Si -5.311 -3.804 -0.875
Si -7.529 -3.368 -1.622
Si -2.874 -2.212 -1.866
Si -3.094 -0.508 -0.218
V 0.000 0.000 0.000
V -5.495 -1.320 -0.379
H -3.909 -3.626 -1.912
H -2.532 -0.492 -1.879
```


(3)
Entry from Alexandria via LeMat-Bulk: crystalline TmTh2Pb at its relaxed geometry (PBE).

extended XYZ file:
```
4
Lattice="-2.725 -1.580 -1.550 -0.236 -3.503 0.010 -7.288 -1.240 10.099" Properties=species:S:1:pos:R:3 pbc="T T T"
Th -5.607 -1.361 7.267
Th -4.642 -4.962 1.291
Pb 0.000 0.000 0.000
Tm -5.125 -3.162 4.279
```

## Properties
The calculation puts the formation energy at 14.9 kJ/mol of atoms.


(4)
Entry from Alexandria via LeMat-Bulk: crystalline Zr2FeSi at its relaxed geometry (PBE).

extended XYZ file:
```
4
Lattice="4.534 0.000 0.000 2.267 3.927 0.000 2.267 1.309 3.702" Properties=species:S:1:pos:R:3 pbc="T T T"
Zr 0.000 0.000 0.000
Zr 2.267 1.309 0.925
Fe 4.534 2.618 1.851
Si 6.801 3.927 2.776
```

## Properties
The formation energy without anion corrections is -0.005 eV/atom.


(5)
Entry from Alexandria via LeMat-Bulk: crystalline LiDy2Ga3Au4 at its relaxed geometry (PBE).

extended XYZ file:
```
10
Lattice="4.300 0.000 0.000 0.000 4.300 0.000 0.000 0.000 10.830" Properties=species:S:1:pos:R:3 pbc="T T T"
Ga 0.000 2.150 1.474
Ga 0.000 0.000 5.415
Ga 2.150 0.000 9.356
Au 2.150 2.150 0.000
Au 0.000 2.150 3.953
Au 2.150 0.000 6.877
Au 0.000 0.000 0.000
Dy 2.150 0.000 2.583
Dy 0.000 2.150 8.247
Li 2.150 2.150 5.415
```

## Properties
The calculation puts the formation energy at -56.7 kJ/mol of atoms.


(6)
Entry from Alexandria via LeMat-Bulk: crystalline DyPuZn4 at its relaxed geometry (PBE).

extended XYZ file:
```
6
Lattice="-4.451 -3.033 0.914 0.512 -5.290 1.265 -1.141 -1.722 5.058" Properties=species:S:1:pos:R:3 pbc="T T T"
Dy 0.000 0.000 0.000
Zn -3.176 -6.280 4.524
Zn -0.948 -4.762 4.067
Zn -3.433 -3.632 3.891
Zn -2.605 -5.418 1.992
Pu -1.270 -2.511 1.809
```

## Properties
The calculation puts the formation energy at -21.4 kJ/mol of atoms.


(7)
Entry from Alexandria via LeMat-Bulk: crystalline CdGe2S at its relaxed geometry (PBE).

extended XYZ file:
```
8
Lattice="6.012 0.000 0.000 0.000 6.012 0.000 3.006 3.006 5.823" Properties=species:S:1:pos:R:3 pbc="T T T"
Ge 7.515 7.383 4.367
Ge 1.636 4.509 1.456
Ge 4.509 4.642 4.367
Ge 4.376 1.503 1.456
Cd 0.000 0.000 0.000
Cd 6.012 3.006 2.912
S 3.006 3.006 0.000
S 3.006 6.012 2.912
```

## Properties
The formation energy without anion corrections is 0.191 eV/atom.


(8)
Entry from Alexandria via LeMat-Bulk: crystalline Rb2NaPdO4 at its relaxed geometry (PBE).

extended XYZ file:
```
16
Lattice="-3.403 4.734 -1.805 -2.510 -0.544 -7.015 -9.700 -2.157 2.311" Properties=species:S:1:pos:R:3 pbc="T T T"
Na -8.657 2.200 -3.706
Na 0.000 0.000 0.000
O -7.798 1.295 -1.878
O -10.559 -1.253 0.483
O -7.597 0.434 -4.516
O -3.570 1.221 -6.205
O -2.865 2.673 -2.405
O -5.792 -0.473 -1.301
O -10.039 2.809 -5.324
O -14.232 1.423 -4.891
Pd -6.956 -0.167 -2.803
Pd -1.702 2.367 -0.902
Rb -6.838 -0.539 1.161
Rb -5.796 3.818 -4.855
Rb -6.265 3.115 -0.655
Rb -11.519 0.581 -2.556
```

## Properties
The formation energy without anion corrections is -0.725 eV/atom.


Calculated E in order - -7.319; -5.245; -5.600; -7.750; -3.918; -4.227; -3.378; -4.260 eV per atom